# CaGaTcS2

An optimized crystal structure of CaGaTcS2 (GGA-PBE, Alexandria via LeMat-Bulk).

```
CaGaTcS2
1.0
5.228 0.000 0.000
0.000 5.228 0.000
0.000 0.000 5.533
Ca Ga Tc S
1 1 1 2
direct
0.000 0.000 0.000
0.500 0.500 0.500
0.000 0.000 0.500
0.000 0.500 0.000
0.500 0.000 0.000
```

Values from the calculation:
The mass density is 2.99 g cm⁻³. The total magnetic moment is 5.04 μB/cell. The space-group type is P4/mmm, No. 123.

---

# CaTmGaS4

An optimized crystal structure of CaTmGaS4 (GGA-PBE, Alexandria via LeMat-Bulk).

```
CaTmGaS4
1.0
-3.814 3.919 5.477
3.814 -3.919 5.477
3.814 3.919 -5.477
Ca Tm Ga S
2 2 2 8
direct
0.500 0.000 0.000
0.500 0.500 0.500
0.000 0.000 0.000
0.500 0.000 0.500
0.115 0.365 0.750
0.885 0.635 0.250
0.239 0.246 0.993
0.245 0.242 0.498
0.245 0.747 0.002
0.247 0.754 0.493
0.753 0.246 0.507
0.755 0.253 0.998
0.755 0.758 0.502
0.761 0.754 0.007
```

Values from the calculation:
The mass density is 4.13 g cm⁻³. The total magnetic moment is 0.00 μB/cell. The space-group type is Imma, No. 74.

---

# CaYGaS4

An optimized crystal structure of CaYGaS4 (GGA-PBE, Alexandria via LeMat-Bulk).

```
CaYGaS4
1.0
-3.840 3.941 5.507
3.840 -3.941 5.507
3.840 3.941 -5.507
Ca Y Ga S
2 2 2 8
direct
0.500 0.000 0.000
0.500 0.500 0.500
0.000 0.000 0.000
0.500 0.000 0.500
0.116 0.366 0.750
0.884 0.634 0.250
0.241 0.248 0.993
0.245 0.246 0.501
0.245 0.744 0.999
0.245 0.752 0.493
0.755 0.248 0.507
0.755 0.256 0.001
0.755 0.754 0.499
0.759 0.752 0.007
```

Values from the calculation:
The mass density is 3.26 g cm⁻³. The total magnetic moment is 0.00 μB/cell. The space-group type is Imma, No. 74.

---

# Ca2ZnGaS

An optimized crystal structure of Ca2ZnGaS (GGA-PBE, Alexandria via LeMat-Bulk).

```
Ca2ZnGaS
1.0
5.607 0.000 0.000
0.000 5.607 0.000
0.000 0.000 4.479
Ca Zn Ga S
2 1 1 1
direct
0.000 0.500 0.000
0.500 0.000 0.000
0.000 0.000 0.500
0.000 0.000 0.000
0.500 0.500 0.500
```

Values from the calculation:
The mass density is 2.92 g cm⁻³. The total magnetic moment is 0.00 μB/cell. The space-group type is P4/mmm, No. 123.

---

# Ca2GaSb

An optimized crystal structure of Ca2GaSb (GGA-PBE, Alexandria via LeMat-Bulk).

```
Ca2GaSb
1.0
-4.153 4.153 3.494
4.153 -4.153 3.494
4.153 4.153 -3.494
Ca Ga Sb
4 2 2
direct
0.121 0.125 0.496
0.375 0.879 0.004
0.629 0.625 0.504
0.875 0.371 0.996
0.000 0.000 0.000
0.750 0.250 0.500
0.250 0.750 0.500
0.500 0.500 0.000
```

Values from the calculation:
The mass density is 3.74 g cm⁻³. The total magnetic moment is 0.00 μB/cell. The space-group type is I-42d, No. 122.

---

# CaGa2Sb2

An optimized crystal structure of CaGa2Sb2 (GGA-PBE, Alexandria via LeMat-Bulk).

```
CaGa2Sb2
1.0
-2.164 2.164 7.292
2.164 -2.164 7.292
2.164 2.164 -7.292
Ca Ga Sb
1 2 2
direct
0.000 0.000 0.000
0.250 0.750 0.500
0.750 0.250 0.500
0.391 0.391 0.000
0.609 0.609 0.000
```

Values from the calculation:
The mass density is 5.14 g cm⁻³. The total magnetic moment is 0.00 μB/cell. The space-group type is I4/mmm, No. 139.

---

# CaGa3Sb

An optimized crystal structure of CaGa3Sb (GGA-PBE, Alexandria via LeMat-Bulk).

```
CaGa3Sb
1.0
5.359 0.000 0.000
0.000 5.359 0.000
0.000 0.000 5.359
Ca Ga Sb
1 3 1
direct
0.000 0.000 0.000
0.000 0.500 0.500
0.500 0.000 0.500
0.500 0.500 0.000
0.500 0.500 0.500
```

Values from the calculation:
The mass density is 4.00 g cm⁻³. The total magnetic moment is 0.00 μB/cell. The space-group type is Pm-3m, No. 221.

---

# Ca3GaSb

An optimized crystal structure of Ca3GaSb (GGA-PBE, Alexandria via LeMat-Bulk).

```
Ca3GaSb
1.0
5.566 0.000 0.000
0.000 5.566 0.000
0.000 0.000 5.566
Ca Ga Sb
3 1 1
direct
0.000 0.000 0.500
0.000 0.500 0.000
0.500 0.000 0.000
0.000 0.000 0.000
0.500 0.500 0.500
```

Values from the calculation:
The mass density is 3.00 g cm⁻³. The total magnetic moment is 0.05 μB/cell. The space-group type is Pm-3m, No. 221.

---

# CaGaSb3

An optimized crystal structure of CaGaSb3 (GGA-PBE, Alexandria via LeMat-Bulk).

```
CaGaSb3
1.0
5.378 0.000 0.000
0.000 5.378 0.000
0.000 0.000 5.378
Ca Ga Sb
1 1 3
direct
0.000 0.000 0.000
0.500 0.500 0.500
0.000 0.500 0.500
0.500 0.000 0.500
0.500 0.500 0.000
```

Values from the calculation:
The mass density is 5.07 g cm⁻³. The total magnetic moment is 0.00 μB/cell. The space-group type is Pm-3m, No. 221.

---

# Ca11GaSb9

An optimized crystal structure of Ca11GaSb9 (GGA-PBE, Alexandria via LeMat-Bulk).

```
Ca11GaSb9
1.0
-5.942 6.257 8.418
5.942 -6.257 8.418
5.942 6.257 -8.418
Ca Ga Sb
22 2 18
direct
0.012 0.681 0.013
0.020 0.020 0.000
0.022 0.286 0.370
0.155 0.531 0.259
0.168 0.181 0.669
0.223 0.571 0.795
0.271 0.896 0.741
0.277 0.071 0.348
0.410 0.593 0.638
0.416 0.786 0.264
0.454 0.093 0.182
0.512 0.499 0.331
0.520 0.520 0.000
0.522 0.152 0.736
0.655 0.396 0.625
0.668 0.999 0.987
0.723 0.929 0.652
0.771 0.031 0.375
0.777 0.429 0.205
0.910 0.272 0.818
0.916 0.652 0.630
0.954 0.772 0.362
0.234 0.234 0.000
0.734 0.734 0.000
0.014 0.005 0.715
0.092 0.592 0.500
0.202 0.846 0.001
0.228 0.874 0.426
0.230 0.474 0.016
0.290 0.299 0.285
0.344 0.346 0.644
0.449 0.802 0.574
0.458 0.214 0.984
0.514 0.799 0.009
0.592 0.092 0.500
0.702 0.701 0.356
0.728 0.302 0.354
0.730 0.714 0.755
0.790 0.505 0.991
0.844 0.201 0.999
0.949 0.374 0.646
0.958 0.974 0.245
```

Values from the calculation:
The mass density is 4.26 g cm⁻³. The total magnetic moment is 0.00 μB/cell. The space-group type is Iba2, No. 45.

---

# CaGa2Sb2

An optimized crystal structure of CaGa2Sb2 (GGA-PBE, Alexandria via LeMat-Bulk).

```
CaGa2Sb2
1.0
-2.676 2.676 4.554
2.676 -2.676 4.554
2.676 2.676 -4.554
Ca Ga Sb
1 2 2
direct
0.000 0.000 0.000
0.362 0.362 0.000
0.638 0.638 0.000
0.250 0.750 0.500
0.750 0.250 0.500
```

Values from the calculation:
The mass density is 5.39 g cm⁻³. The total magnetic moment is 0.00 μB/cell. The space-group type is I4/mmm, No. 139.

---

# Ca6Ga2Sb

An optimized crystal structure of Ca6Ga2Sb (GGA-PBE, Alexandria via LeMat-Bulk).

```
Ca6Ga2Sb
1.0
-4.938 5.121 5.534
4.938 -5.121 5.534
4.938 5.121 -5.534
Ca Ga Sb
12 4 2
direct
0.034 0.240 0.794
0.183 0.271 0.454
0.183 0.729 0.912
0.330 0.028 0.698
0.330 0.631 0.302
0.447 0.240 0.206
0.553 0.760 0.794
0.670 0.369 0.698
0.670 0.972 0.302
0.817 0.271 0.088
0.817 0.729 0.546
0.966 0.760 0.206
0.115 0.615 0.500
0.355 0.000 0.355
0.645 0.000 0.645
0.885 0.385 0.500
0.000 0.000 0.000
0.500 0.500 0.000
```

Values from the calculation:
The mass density is 2.98 g cm⁻³. The total magnetic moment is 0.00 μB/cell. The space-group type is Immm, No. 71.

---

no.,formation energy from raw total energies (eV per atom)
1,0.881
2,-1.519
3,-1.518
4,-0.334
5,-0.365
6,-0.266
7,0.275
8,-0.264
9,0.094
10,-0.980
11,-0.299
12,-0.477